# ZnOF2

A relaxed ZnOF2 crystal (PBE-GGA, Alexandria via LeMat-Bulk).

The structure in extended XYZ format:
```
4
Lattice="3.2529 0.0000 0.0000 1.6264 2.8178 0.0000 0.1005 0.1020 5.9543" Properties=species:S:1:pos:R:3 pbc="T T T"
Zn 0.0000 0.0000 0.0000
O 3.3538 1.9812 5.0264
F 1.6269 0.9390 0.9876
F 3.3578 1.9851 3.5682
```

## Properties
E above lowest polymorph ... 0.526 eV per atom